Here is an optimized crystal structure of Y2ZrGa9 from Alexandria via LeMat-Bulk. Energies are from PBE.

Results
Space-group type: No. 123
VASP energy, eV per atom: -4.58
Size of the total moment, μB/cell: 0.00
Formation energy, kJ/mol of formula units: -597
Density of states at the Fermi level, states/eV per cell: 4.18

Cell and atoms, written as POSCAR:
```
Y2ZrGa9
1.0
4.234 0.000 0.000
0.000 4.234 0.000
0.000 0.000 12.694
Ga Zr Y
9 1 2
direct
0.000 0.500 0.160
0.500 0.000 0.840
0.500 0.500 0.000
0.500 0.500 0.334
0.500 0.000 0.160
0.500 0.500 0.666
0.000 0.500 0.840
0.500 0.000 0.500
0.000 0.500 0.500
0.000 0.000 0.000
0.000 0.000 0.673
0.000 0.000 0.327
```